(1)
HgPt: optimized geometry, PBEsol.

The calculation puts the formation energy at 83 meV per atom.

The space group is Pmmn (No. 59, origin choice 2) and the conventional cell measures 2.986, 4.852 and 4.804 Å, with angles of 90.00, 90.00 and 90.00 degrees. The inequivalent atoms are Hg at (0.250, 0.250, 0.101) and Pt at (0.250, 0.750, 0.408).


(2)
RbHgPt2S: optimized geometry, PBEsol.

Its uncorrected formation energy is 3.005 kcal/mol of atoms.

The space group is P4/mmm (No. 123) and the conventional cell measures 4.495, 4.495 and 6.125 Å, with angles of 90.00, 90.00 and 90.00 degrees. The inequivalent atoms are Rb at (0.000, 0.000, 0.000), Hg at (0.500, 0.500, 0.000), Pt at (0.000, 0.500, 0.500) and S at (0.000, 0.000, 0.500).


no.,raw total energy (eV/cell),ρ (g cm⁻³),magnetization (μB/cell)
1,-14.727,18.9,0.00
2,-19.252,9.5,0.00